1.
# GGA-PBE MnBePt2, relaxed
data_MnBePt2
_cell_length_a 2.785
_cell_length_b 3.641
_cell_length_c 5.466
_cell_angle_alpha 90.00
_cell_angle_beta 90.00
_cell_angle_gamma 90.00
_symmetry_space_group_name_H-M 'P m m 2'
_symmetry_Int_Tables_number 25
loop_
_symmetry_equiv_pos_as_xyz
'x,y,z'
'-x,-y,z'
'-x,y,z'
'x,-y,z'
loop_
_atom_site_label
_atom_site_type_symbol
_atom_site_fract_x
_atom_site_fract_y
_atom_site_fract_z
Mn1 Mn 0.000 0.000 0.000
Be1 Be 0.500 0.500 0.713
Pt1 Pt 0.000 0.000 0.544
Pt2 Pt 0.500 0.500 0.221
# Crystal system: orthorhombic
# Density of states at the Fermi level: 1.86 states/eV/f.u.
# DFT total energy: -6.60 eV/atom
# Energy of formation from the pure elements: -353 meV per atom
# Total magnetic moment: 1.0481 μB per atom

2.
# GGA-PBE MnBe2Pt3, relaxed
data_MnBe2Pt3
_cell_length_a 2.808
_cell_length_b 2.808
_cell_length_c 9.653
_cell_angle_alpha 90.00
_cell_angle_beta 90.00
_cell_angle_gamma 90.00
_symmetry_space_group_name_H-M 'P 4/m m m'
_symmetry_Int_Tables_number 123
_symmetry_space_group_name_Hall '-P 4 2'
loop_
_atom_site_label
_atom_site_type_symbol
_atom_site_fract_x
_atom_site_fract_y
_atom_site_fract_z
Mn1 Mn 0.000 0.000 0.000
Be1 Be 0.000 0.000 0.345
Pt1 Pt 0.500 0.500 0.199
Pt2 Pt 0.500 0.500 0.500
# Crystal system: tetragonal
# Density of states at the Fermi level: 2.11 states/eV/f.u.
# DFT total energy: -6.44 eV/atom
# Energy of formation from the pure elements: -652 meV per atom
# Total magnetic moment: 0.6941 μB per atom

3.
# GGA-PBE MnBe2Pt2, relaxed
data_MnBe2Pt2
_cell_length_a 6.877
_cell_length_b 6.877
_cell_length_c 2.718
_cell_angle_alpha 90.00
_cell_angle_beta 90.00
_cell_angle_gamma 90.00
_symmetry_space_group_name_H-M 'P 4/m b m'
_symmetry_Int_Tables_number 127
_symmetry_space_group_name_Hall '-P 4 2ab'
loop_
_atom_site_label
_atom_site_type_symbol
_atom_site_fract_x
_atom_site_fract_y
_atom_site_fract_z
Mn1 Mn 0.000 0.000 0.000
Be1 Be 0.149 0.351 0.500
Pt1 Pt 0.148 0.648 0.000
# Distance to the lowest polymorph of the same formula: 0.0 meV per atom
# Crystal system: tetragonal
# Density of states at the Fermi level: 2.02 states/eV/f.u.
# DFT total energy: -6.19 eV/atom
# Energy of formation from the pure elements: -451 meV per atom
# Total magnetic moment: 0.8461 μB per atom

4.
# GGA-PBE RbMnBe2Pt, relaxed
data_RbMnBe2Pt
_cell_length_a 4.521
_cell_length_b 4.521
_cell_length_c 4.619
_cell_angle_alpha 90.00
_cell_angle_beta 90.00
_cell_angle_gamma 90.00
_symmetry_space_group_name_H-M 'P 4/m m m'
_symmetry_Int_Tables_number 123
_symmetry_space_group_name_Hall '-P 4 2'
loop_
_atom_site_label
_atom_site_type_symbol
_atom_site_fract_x
_atom_site_fract_y
_atom_site_fract_z
Rb1 Rb 0.000 0.000 0.000
Mn1 Mn 0.000 0.000 0.500
Be1 Be 0.000 0.500 0.000
Pt1 Pt 0.500 0.500 0.500
# Crystal system: tetragonal
# Density of states at the Fermi level: 3.69 states/eV/f.u.
# DFT total energy: -2.15 eV/atom
# Energy of formation from the pure elements: 2574 meV per atom
# Total magnetic moment: 0.6746 μB per atom

5.
# GGA-PBE MnBePtRh2, relaxed
data_MnBePtRh2
_cell_length_a 4.351
_cell_length_b 4.351
_cell_length_c 4.018
_cell_angle_alpha 90.00
_cell_angle_beta 90.00
_cell_angle_gamma 90.00
_symmetry_space_group_name_H-M 'P 4/m m m'
_symmetry_Int_Tables_number 123
_symmetry_space_group_name_Hall '-P 4 2'
loop_
_atom_site_label
_atom_site_type_symbol
_atom_site_fract_x
_atom_site_fract_y
_atom_site_fract_z
Mn1 Mn 0.000 0.000 0.000
Be1 Be 0.000 0.000 0.500
Pt1 Pt 0.500 0.500 0.500
Rh1 Rh 0.000 0.500 0.000
# Crystal system: tetragonal
# Density of states at the Fermi level: 5.81 states/eV/f.u.
# DFT total energy: -5.87 eV/atom
# Energy of formation from the pure elements: 858 meV per atom
# Total magnetic moment: 0.0000 μB per atom

6.
# GGA-PBE Sm2MnBePt6, relaxed
data_Sm2MnBePt6
_cell_length_a 5.7082
_cell_length_b 5.7082
_cell_length_c 19.9495
_cell_angle_alpha 90.00
_cell_angle_beta 90.00
_cell_angle_gamma 120.00
_symmetry_space_group_name_H-M 'R -3 m'
_symmetry_Int_Tables_number 166
_symmetry_space_group_name_Hall '-R 3 2"'
loop_
_atom_site_label
_atom_site_type_symbol
_atom_site_fract_x
_atom_site_fract_y
_atom_site_fract_z
Sm1 Sm 0.0000 0.0000 0.2111
Mn1 Mn 0.0000 0.0000 0.5000
Be1 Be 0.0000 0.0000 0.0000
Pt1 Pt 0.0102 0.5051 0.2652
# Crystal system: trigonal
# Density of states at the Fermi level: 5.19 states/eV/f.u.
# DFT total energy: -6.59 eV/atom
# Energy of formation from the pure elements: -733 meV per atom
# Total magnetic moment: 0.4215 μB per atom

7.
# GGA-PBE PuMn2Be, relaxed
data_PuMn2Be
_cell_length_a 2.908
_cell_length_b 2.908
_cell_length_c 6.588
_cell_angle_alpha 90.00
_cell_angle_beta 90.00
_cell_angle_gamma 90.00
_symmetry_space_group_name_H-M 'P 4/m m m'
_symmetry_Int_Tables_number 123
_symmetry_space_group_name_Hall '-P 4 2'
loop_
_atom_site_label
_atom_site_type_symbol
_atom_site_fract_x
_atom_site_fract_y
_atom_site_fract_z
Pu1 Pu 0.000 0.000 0.000
Mn1 Mn 0.500 0.500 0.309
Be1 Be 0.000 0.000 0.500
# Distance to the lowest polymorph of the same formula: 56.5 meV per atom
# Crystal system: tetragonal
# Density of states at the Fermi level: 2.78 states/eV/f.u.
# DFT total energy: -9.01 eV/atom
# Energy of formation from the pure elements: 90 meV per atom
# Total magnetic moment: 0.0100 μB per atom

8.
# GGA-PBE PuMn2Be, relaxed
data_PuMn2Be
_cell_length_a 5.965
_cell_length_b 5.965
_cell_length_c 5.965
_cell_angle_alpha 90.00
_cell_angle_beta 90.00
_cell_angle_gamma 90.00
_symmetry_space_group_name_H-M 'F m -3 m'
_symmetry_Int_Tables_number 225
_symmetry_space_group_name_Hall '-F 4 2 3'
loop_
_atom_site_label
_atom_site_type_symbol
_atom_site_fract_x
_atom_site_fract_y
_atom_site_fract_z
Pu1 Pu 0.000 0.000 0.000
Mn1 Mn 0.250 0.250 0.250
Be1 Be 0.000 0.000 0.500
# Distance to the lowest polymorph of the same formula: 85.4 meV per atom
# Crystal system: cubic
# Density of states at the Fermi level: 6.36 states/eV/f.u.
# DFT total energy: -8.98 eV/atom
# Energy of formation from the pure elements: 119 meV per atom
# Total magnetic moment: 0.3467 μB per atom

9.
# GGA-PBE PuMn2Be, relaxed
data_PuMn2Be
_cell_length_a 3.946
_cell_length_b 3.946
_cell_length_c 3.443
_cell_angle_alpha 90.00
_cell_angle_beta 90.00
_cell_angle_gamma 90.00
_symmetry_space_group_name_H-M 'P 4/m m m'
_symmetry_Int_Tables_number 123
_symmetry_space_group_name_Hall '-P 4 2'
loop_
_atom_site_label
_atom_site_type_symbol
_atom_site_fract_x
_atom_site_fract_y
_atom_site_fract_z
Pu1 Pu 0.000 0.000 0.000
Mn1 Mn 0.000 0.500 0.500
Be1 Be 0.500 0.500 0.000
# Distance to the lowest polymorph of the same formula: 0.0 meV per atom
# Crystal system: tetragonal
# Density of states at the Fermi level: 3.87 states/eV/f.u.
# DFT total energy: -9.07 eV/atom
# Energy of formation from the pure elements: 34 meV per atom
# Total magnetic moment: 0.1377 μB per atom

10.
# GGA-PBE Pu2MnBeSi6, relaxed
data_Pu2MnBeSi6
_cell_length_a 5.8505
_cell_length_b 5.8505
_cell_length_c 32.2404
_cell_angle_alpha 90.00
_cell_angle_beta 90.00
_cell_angle_gamma 120.00
_symmetry_space_group_name_H-M 'R -3 m'
_symmetry_Int_Tables_number 166
_symmetry_space_group_name_Hall '-R 3 2"'
loop_
_atom_site_label
_atom_site_type_symbol
_atom_site_fract_x
_atom_site_fract_y
_atom_site_fract_z
Pu1 Pu 0.0000 0.0000 0.1117
Pu2 Pu 0.0000 0.0000 0.2907
Mn1 Mn 0.0000 0.0000 0.0000
Mn2 Mn 0.0000 0.0000 0.5000
Be1 Be 0.0000 0.0000 0.4301
Si1 Si 0.0533 0.5266 0.2935
Si2 Si 0.0667 0.5334 0.8674
# ΔE_f (raw): -0.29 eV/atom
# Crystal system: trigonal
# Density of states at the Fermi level: 14.64 states/eV/f.u.
# DFT total energy: -7.70 eV/atom
# Total magnetic moment: 0.9890 μB per atom

11.
# GGA-PBE RbMn3Be, relaxed
data_RbMn3Be
_cell_length_a 4.903
_cell_length_b 4.903
_cell_length_c 4.903
_cell_angle_alpha 90.00
_cell_angle_beta 90.00
_cell_angle_gamma 90.00
_symmetry_space_group_name_H-M 'P m -3 m'
_symmetry_Int_Tables_number 221
_symmetry_space_group_name_Hall '-P 4 2 3'
loop_
_atom_site_label
_atom_site_type_symbol
_atom_site_fract_x
_atom_site_fract_y
_atom_site_fract_z
Rb1 Rb 0.000 0.000 0.000
Mn1 Mn 0.000 0.000 0.500
Be1 Be 0.500 0.500 0.500
# Distance to the lowest polymorph of the same formula: 1637.1 meV per atom
# Crystal system: cubic
# Density of states at the Fermi level: 4.91 states/eV/f.u.
# DFT total energy: -3.75 eV/atom
# Energy of formation from the pure elements: 2691 meV per atom
# Total magnetic moment: 2.2747 μB per atom

12.
# GGA-PBE Rb2MnBe, relaxed
data_Rb2MnBe
_cell_length_a 12.876
_cell_length_b 12.876
_cell_length_c 4.696
_cell_angle_alpha 90.00
_cell_angle_beta 90.00
_cell_angle_gamma 90.00
_symmetry_space_group_name_H-M 'I -4 2 d'
_symmetry_Int_Tables_number 122
_symmetry_space_group_name_Hall 'I -4 2bw'
loop_
_atom_site_label
_atom_site_type_symbol
_atom_site_fract_x
_atom_site_fract_y
_atom_site_fract_z
Rb1 Rb 0.071 0.250 0.125
Mn1 Mn 0.000 0.000 0.500
Be1 Be 0.000 0.000 0.000
# Crystal system: tetragonal
# Density of states at the Fermi level: 2.82 states/eV/f.u.
# DFT total energy: -2.83 eV/atom
# Energy of formation from the pure elements: 873 meV per atom
# Total magnetic moment: 0.9333 μB per atom

What did the eleventh record say?
# GGA-PBE RbMn3Be, relaxed
data_RbMn3Be
_cell_length_a 4.903
_cell_length_b 4.903
_cell_length_c 4.903
_cell_angle_alpha 90.00
_cell_angle_beta 90.00
_cell_angle_gamma 90.00
_symmetry_space_group_name_H-M 'P m -3 m'
_symmetry_Int_Tables_number 221
_symmetry_space_group_name_Hall '-P 4 2 3'
loop_
_atom_site_label
_atom_site_type_symbol
_atom_site_fract_x
_atom_site_fract_y
_atom_site_fract_z
Rb1 Rb 0.000 0.000 0.000
Mn1 Mn 0.000 0.000 0.500
Be1 Be 0.500 0.500 0.500
# Distance to the lowest polymorph of the same formula: 1637.1 meV per atom
# Crystal system: cubic
# Density of states at the Fermi level: 4.91 states/eV/f.u.
# DFT total energy: -3.75 eV/atom
# Energy of formation from the pure elements: 2691 meV per atom
# Total magnetic moment: 2.2747 μB per atom